1.
Here is Nb2ClF after structural relaxation from Alexandria via LeMat-Bulk. Energies are from PBE.

Summary:
**ΔE to the lowest computed polymorph**: 0.00 kcal/mol of atoms

a b c (Å): 3.9867 3.9867 16.4868
angles (deg): 90.00 90.00 90.00
Space group I-42d (No. 122)
Symmetry-distinct sites (fractional):
Nb: 0.2368 0.2500 0.1250
Cl: 0.0000 0.0000 0.5000
F: 0.0000 0.0000 0.0000



2.
Here is NbCl2F after structural relaxation from Alexandria via LeMat-Bulk. Energies are from PBE.

Summary:
**ΔE to the lowest computed polymorph**: 3.42 kcal/mol of atoms

a b c (Å): 9.2275 9.2275 4.1730
angles (deg): 90.00 90.00 90.00
Space group I-42d (No. 122)
Symmetry-distinct sites (fractional):
Nb: 0.0000 0.0000 0.0000
Cl: 0.0935 0.2500 0.1250
F: 0.0000 0.0000 0.5000



3.
Here is Nb2Cl4F after structural relaxation from Alexandria via LeMat-Bulk. Energies are from PBE.

a b c (Å): 6.3090 6.3241 8.8133
angles (deg): 106.39 108.77 99.03
Space group P1 (No. 1)
Symmetry-distinct sites (fractional):
Nb: 0.0000 0.0000 0.0000
Nb: 0.0419 0.0065 0.3310
Nb: 0.1339 0.6353 0.4997
Nb: 0.4572 0.9236 0.8312
Cl: 0.0690 0.6581 0.7817
Cl: 0.2344 0.2137 0.8830
Cl: 0.2590 0.3453 0.2822
Cl: 0.4171 0.0122 0.5577
Cl: 0.6798 0.7747 0.0570
Cl: 0.7775 0.2768 0.9739
Cl: 0.8053 0.2824 0.3849
Cl: 0.8284 0.8281 0.4718
F: 0.1954 0.8392 0.1609
F: 0.4558 0.6011 0.6610



Values of uncorrected formation energy, in order: -0.455 -1.530 -1.229, all in eV per atom.